This record from the Alexandria database describes a PBEsol-optimized structure of CdGa3Sn. The functional is meta-GGA SCAN.

Its calculated total energy is -1.6548 Ry/atom. The value obtained for the formation enthalpy at 0 K is 270 kJ/mol of formula units.

The structure belongs to space group Pm-3m (No. 221); the cell edges are 5.0430, 5.0430 and 5.0430 Å and the angles 90.00°, 90.00° and 90.00°. The distinct sites, in fractional coordinates, are Cd at (0.0000, 0.0000, 0.0000), Ga at (0.0000, 0.0000, 0.5000) and Sn at (0.5000, 0.5000, 0.5000).



This record from the Alexandria database describes a PBEsol-optimized structure of AlBSe2N. The functional is meta-GGA SCAN.

As for the uncorrected formation energy: 517 kJ/mol of formula units. Its calculated total energy is -0.8712 Ry/atom.

The structure belongs to space group P4/mmm (No. 123); the cell edges are 4.9399, 4.9399 and 3.5064 Å and the angles 90.00°, 90.00° and 90.00°. The distinct sites, in fractional coordinates, are Al at (0.0000, 0.0000, 0.0000), B at (0.5000, 0.5000, 0.5000), Se at (0.0000, 0.5000, 0.0000) and N at (0.0000, 0.0000, 0.5000).



Density: 5.7, 4.1 (g/cm³)